(1)
! MgGa PBE-GGA relaxed; values from VASP
! Uncorrected energy in eV per atom: -2.374
! Formation energy in kJ/mol of atoms: -6.1
! Spin magnetization in μB per atom: 0.00
! D(E_F) in states/eV/f.u.: 0.96
&SYSTEM
  ibrav = 0, nat = 12, ntyp = 2
/
ATOMIC_SPECIES
Ga 69.72 Ga.upf
Mg 24.30 Mg.upf
ATOMIC_POSITIONS crystal
Ga 0.000 0.000 0.138
Mg 0.500 0.334 0.861
Ga 0.000 0.668 0.139
Mg 0.500 0.000 0.860
Ga 0.000 0.332 0.139
Mg 0.500 0.500 0.360
Ga 0.000 0.500 0.638
Ga 0.000 0.832 0.639
Ga 0.000 0.168 0.639
Mg 0.500 0.666 0.861
Mg 0.500 0.834 0.361
Mg 0.500 0.166 0.361
CELL_PARAMETERS angstrom
3.027 0.000 0.000
0.000 9.431 0.000
0.000 0.000 8.611


(2)
! Cs3NbBr6 PBE-GGA relaxed; values from VASP
! Uncorrected energy in eV per atom: -3.659
! Energy relative to the elements, uncorrected in meV/atom: -1392.2
! Spin magnetization in μB per atom: 0.20
! Energy relative to the lowest polymorph listed for this composition in eV/f.u.: 0.00
! D(E_F) in states/eV/f.u.: 11.07
&SYSTEM
  ibrav = 0, nat = 20, ntyp = 3
/
ATOMIC_SPECIES
Br 79.90 Br.upf
Cs 132.91 Cs.upf
Nb 92.91 Nb.upf
ATOMIC_POSITIONS crystal
Br 0.306 0.523 0.289
Br 0.212 0.332 0.549
Br 0.892 0.240 0.449
Cs 0.500 0.500 0.000
Cs 0.777 0.431 0.245
Cs 0.223 0.931 0.255
Br 0.892 0.260 0.949
Cs 0.777 0.069 0.745
Br 0.108 0.760 0.551
Br 0.694 0.477 0.711
Cs 0.500 0.000 0.500
Nb 0.000 0.500 0.500
Nb 0.000 0.000 0.000
Br 0.788 0.668 0.451
Br 0.306 0.977 0.789
Br 0.108 0.740 0.051
Br 0.212 0.168 0.049
Cs 0.223 0.569 0.755
Br 0.788 0.832 0.951
Br 0.694 0.023 0.211
CELL_PARAMETERS angstrom
7.246 0.000 4.125
0.000 8.662 0.000
1.106 0.000 14.390


(3)
! Cr3NiRh3 PBE-GGA relaxed; values from VASP
! Uncorrected energy in eV per atom: -7.953
! Formation energy in kJ/mol of atoms: 14.3
! Spin magnetization in μB per atom: 0.34
! D(E_F) in states/eV/f.u.: 7.65
&SYSTEM
  ibrav = 0, nat = 14, ntyp = 3
/
ATOMIC_SPECIES
Rh 102.91 Rh.upf
Cr 52.00 Cr.upf
Ni 58.69 Ni.upf
ATOMIC_POSITIONS crystal
Rh 0.300 0.700 0.000
Cr 0.500 0.000 0.231
Rh 0.745 0.745 0.500
Rh 0.732 0.268 0.500
Cr 0.500 0.000 0.769
Cr 0.000 0.000 0.211
Cr 0.000 0.000 0.789
Ni 0.731 0.731 0.000
Rh 0.268 0.732 0.500
Cr 0.000 0.500 0.231
Cr 0.000 0.500 0.769
Ni 0.269 0.269 0.000
Rh 0.255 0.255 0.500
Rh 0.700 0.300 0.000
CELL_PARAMETERS angstrom
5.817 0.091 -0.001
0.105 5.816 -0.001
0.001 0.001 5.616